Below is an optimized crystal structure of La2PrCu2Si4Au2, with properties calculated at the PBE level.

Results
uncorrected energy: -5.22 eV per atom
M_tot: 0.01 μB/cell

a b c (Å): 4.211 4.321 24.676
angles (deg): 90.00 90.00 90.00
Space group Immm (No. 71)
Symmetry-distinct sites (fractional):
La: 0.000 0.000 0.145
Pr: 0.000 0.500 0.500
Cu: 0.000 0.000 0.407
Si: 0.000 0.000 0.312
Si: 0.000 0.500 0.049
Au: 0.000 0.500 0.250